Density functional theory data (PBE-GGA) for a relaxed structure of SmYSc2.

Unit cell a=7.7048 b=7.7048 c=7.7048 alpha=90.00 beta=90.00 gamma=90.00
Space group Fm-3m (No. 225)
Inequivalent atoms, fractional coordinates:
Sm1 0.0000 0.0000 0.0000 x4
Y1 0.0000 0.0000 0.5000 x4
Sc1 0.2500 0.2500 0.2500 x8

Output
**DOS(E_F)**: 1.431 states/eV/atom
**Offset from the most stable computed form**: 30 meV/atom